1.
Entry from Alexandria via LeMat-Bulk: an optimized crystal structure of LaMnAu2 (GGA-PBEsol).

Output
The value obtained for the raw total energy is -0.43415 Ry/atom. As for the density: 12.2 g/cm³. The calculation puts the density of states at the Fermi level at 0.24 states/eV/atom.

a b c (Å): 4.7943 4.8634 4.7943
angles (deg): 60.47 90.00 119.53
With the nearest neighbours (Å) after each atom.
Fractional positions:
La1 0.5000 0.0000 0.5000  4 Mn 2.96, 4 Au 2.96
Mn1 0.7500 0.5000 0.7500  4 La 2.96, 4 Au 2.96
Au1 0.0000 0.0000 0.0000  4 Mn 2.96, 4 Au 2.96
Au2 0.2500 0.5000 0.2500  4 La 2.96, 4 Au 2.96


2.
Entry from Alexandria via LeMat-Bulk: an optimized crystal structure of LaMnAu2 (GGA-PBEsol).

Output
The value obtained for the raw total energy is -0.43309 Ry/atom. As for the density: 11.8 g/cm³. The calculation puts the density of states at the Fermi level at 0.60 states/eV/atom.

a b c (Å): 3.5349 3.5349 6.6289
angles (deg): 90.00 90.00 90.00
With the nearest neighbours (Å) after each atom.
Fractional positions:
Au1 0.0000 0.0000 0.9759  4 Mn 2.71, 4 Au 2.96
Mn1 0.5000 0.5000 0.8170  5 Au 2.65-2.71
Au2 0.5000 0.5000 0.2162  1 Mn 2.65, 4 Au 2.96
La1 0.0000 0.0000 0.4909  6 Au 3.09-3.41, 4 Mn 3.30


3.
Entry from Alexandria via LeMat-Bulk: an optimized crystal structure of LaMnAu2 (GGA-PBEsol).

Output
The value obtained for the raw total energy is -0.44128 Ry/atom. As for the density: 11.3 g/cm³. The calculation puts the density of states at the Fermi level at 0.65 states/eV/atom.

a b c (Å): 4.5052 4.5052 5.5469
angles (deg): 66.04 66.04 60.00
With the nearest neighbours (Å) after each atom.
Fractional positions:
Au1 0.9803 0.9803 0.0592  3 Mn 2.60, 3 Au 2.82
Mn1 0.3127 0.3127 0.0619  6 Au 2.60-2.82
Au2 0.7209 0.7209 0.8373  3 Au 2.82, 3 Mn 2.82, 1 La 3.08
La1 0.5111 0.5111 0.4668  1 Mn 2.92, 4 Au 3.08-3.17


4.
Entry from Alexandria via LeMat-Bulk: an optimized crystal structure of LaMnAu (GGA-PBEsol).

Output
The value obtained for the raw total energy is -0.47840 Ry/atom. As for the density: 9.5 g/cm³. The calculation puts the density of states at the Fermi level at 1.07 states/eV/atom.

a b c (Å): 3.8670 4.5100 4.5100
angles (deg): 120.00 90.00 90.00
With the nearest neighbours (Å) after each atom.
Fractional positions:
Mn1 0.1668 0.3333 0.6667  3 Au 2.60
La1 0.6666 0.6667 0.3333  6 Mn 3.24, 6 Au 3.24
Au1 0.1666 0.0000 0.0000  3 Mn 2.60


5.
Entry from Alexandria via LeMat-Bulk: an optimized crystal structure of LaMoAu (GGA-PBEsol).

Output
Its energy relative to the lowest polymorph listed for this composition is 0.4090 eV per atom. As for the density: 9.5 g/cm³. The calculation puts the density of states at the Fermi level at 0.74 states/eV/atom.

a b c (Å): 4.7367 4.7367 4.7367
angles (deg): 60.00 60.00 60.00
With the nearest neighbours (Å) after each atom.
Fractional positions:
Au1 0.5000 0.5000 0.5000  4 La 2.90
Mo1 0.0000 0.0000 0.0000  4 La 2.90
La1 0.7500 0.7500 0.7500  4 Au 2.90, 4 Mo 2.90


6.
Entry from Alexandria via LeMat-Bulk: an optimized crystal structure of LaMoAu2 (GGA-PBEsol).

Output
Its energy relative to the lowest polymorph listed for this composition is 0.1396 eV per atom. As for the density: 13.7 g/cm³. The calculation puts the density of states at the Fermi level at 0.93 states/eV/atom.

a b c (Å): 2.9689 2.9689 10.1416
angles (deg): 81.58 81.58 60.00
With the nearest neighbours (Å) after each atom.
Fractional positions:
La1 0.5000 0.5000 0.5000  6 La 2.97, 6 Au 3.27
Au1 0.2594 0.2594 0.2217  3 Mo 2.80, 6 Au 2.97
Au2 0.7406 0.7406 0.7783  3 Mo 2.80, 6 Au 2.97
Mo1 0.0000 0.0000 0.0000  6 Au 2.80, 6 Mo 2.97


7.
Entry from Alexandria via LeMat-Bulk: an optimized crystal structure of La2MoAu (GGA-PBEsol).

Output
The value obtained for the raw total energy is -0.47195 Ry/atom. As for the density: 10.9 g/cm³. The calculation puts the density of states at the Fermi level at 1.35 states/eV/atom.

a b c (Å): 4.9689 4.9689 4.9689
angles (deg): 60.00 60.00 60.00
With the nearest neighbours (Å) after each atom.
Fractional positions:
Au1 0.5000 0.5000 0.5000  4 La 3.04, 4 Mo 3.04
Mo1 0.2500 0.2500 0.2500  4 La 3.04, 4 Au 3.04
La1 0.0000 0.0000 0.0000  4 Mo 3.04, 4 La 3.04
La2 0.7500 0.7500 0.7500  4 Au 3.04, 4 La 3.04


8.
Entry from Alexandria via LeMat-Bulk: an optimized crystal structure of LaMoAu2 (GGA-PBEsol).

Output
Its energy relative to the lowest polymorph listed for this composition is 0.0000 eV per atom. As for the density: 13.0 g/cm³. The calculation puts the density of states at the Fermi level at 1.19 states/eV/atom.

a b c (Å): 4.3573 5.2312 4.3573
angles (deg): 65.39 90.00 114.61
With the nearest neighbours (Å) after each atom.
Fractional positions:
La1 0.5000 0.0000 0.5000  8 Au 3.04, 4 Mo 3.08
Mo1 0.0000 0.0000 0.0000  8 Au 3.04, 4 La 3.08
Au1 0.2500 0.5000 0.2500  4 Mo 3.04, 4 La 3.04, 4 Au 3.08
Au2 0.7500 0.5000 0.7500  4 Mo 3.04, 4 La 3.04, 4 Au 3.08